(1)
{"formula": "MnW2Br", "functional": "PBE-GGA", "state": "relaxed", "lattice_angstrom": [[3.209, 0.000, 0.000], [0.000, 4.935, 0.000], [0.000, 0.000, 8.989]], "species": ["Mn", "Mn", "W", "W", "W", "W", "Br", "Br"], "fractional_positions": [[0.000, 0.000, 0.000], [0.500, 0.500, 0.000], [0.000, 0.000, 0.457], [0.000, 0.500, 0.234], [0.500, 0.000, 0.234], [0.500, 0.500, 0.457], [0.000, 0.500, 0.773], [0.500, 0.000, 0.773]], "magnetic_moment_mub_per_fu": 3.66, "dos_ef_per_ev_fu": 2.9, "rho_g_cm3": 11.726, "e_tot_ev_per_atom": -8.593, "spacegroup": "Cmm2, No. 35"}

=====

(2)
{"formula": "MnW2Br", "functional": "PBE-GGA", "state": "relaxed", "lattice_angstrom": [[9.318, 0.000, 0.000], [0.000, 2.966, 0.000], [-1.461, 0.000, 4.457]], "species": ["Mn", "Mn", "W", "W", "W", "W", "Br", "Br"], "fractional_positions": [[0.000, 0.000, 0.000], [0.500, 0.500, 0.000], [0.002, 0.500, 0.535], [0.280, 0.000, 0.877], [0.502, 0.000, 0.535], [0.780, 0.500, 0.877], [0.236, 0.500, 0.313], [0.736, 0.000, 0.313]], "magnetic_moment_mub_per_fu": 0.79, "dos_ef_per_ev_fu": 3.6, "rho_g_cm3": 13.549, "e_tot_ev_per_atom": -8.250, "spacegroup": "Cm, No. 8"}

=====

(3)
{"formula": "MnWBr", "functional": "PBE-GGA", "state": "relaxed", "lattice_angstrom": [[3.031, 0.000, 0.000], [0.000, 3.031, 0.000], [0.000, 0.000, 12.425]], "species": ["Mn", "Mn", "W", "W", "Br", "Br"], "fractional_positions": [[0.000, 0.000, 0.000], [0.500, 0.500, 0.500], [0.000, 0.000, 0.621], [0.500, 0.500, 0.121], [0.000, 0.000, 0.270], [0.500, 0.500, 0.770]], "magnetic_moment_mub_per_fu": 2.67, "dos_ef_per_ev_fu": 3.0, "rho_g_cm3": 9.269, "e_tot_ev_per_atom": -7.187, "spacegroup": "I4mm, No. 107"}

=====

(4)
{"formula": "Mn2WBr", "functional": "PBE-GGA", "state": "relaxed", "lattice_angstrom": [[7.103, 0.000, 0.000], [0.000, 3.098, 0.000], [-1.399, 0.000, 6.557]], "species": ["Mn", "Mn", "Mn", "Mn", "W", "W", "Br", "Br"], "fractional_positions": [[0.000, 0.000, 0.000], [0.249, 0.500, 0.195], [0.500, 0.500, 0.000], [0.749, 0.000, 0.195], [0.497, 0.000, 0.358], [0.997, 0.500, 0.358], [0.132, 0.000, 0.678], [0.632, 0.500, 0.678]], "magnetic_moment_mub_per_fu": 3.75, "dos_ef_per_ev_fu": 2.7, "rho_g_cm3": 8.598, "e_tot_ev_per_atom": -7.650, "spacegroup": "Cm, No. 8"}

=====

(5)
{"formula": "Mn2WBr", "functional": "PBE-GGA", "state": "relaxed", "lattice_angstrom": [[3.115, 0.000, 0.000], [0.000, 3.018, 0.000], [-0.045, 0.000, 7.398]], "species": ["Mn", "Mn", "W", "Br"], "fractional_positions": [[0.000, 0.000, 0.000], [0.497, 0.500, 0.791], [0.994, 0.000, 0.622], [0.985, 0.500, 0.324]], "magnetic_moment_mub_per_fu": 4.35, "dos_ef_per_ev_fu": 3.4, "rho_g_cm3": 8.920, "e_tot_ev_per_atom": -7.804, "spacegroup": "Pm, No. 6"}

=====

(6)
{"formula": "Mn2WBr", "functional": "PBE-GGA", "state": "relaxed", "lattice_angstrom": [[3.137, 0.000, 0.000], [-1.569, 2.717, 0.000], [0.000, 0.000, 24.148]], "species": ["Mn", "Mn", "Mn", "Mn", "Mn", "Mn", "W", "W", "W", "Br", "Br", "Br"], "fractional_positions": [[0.000, 0.000, 0.246], [0.000, 0.000, 0.754], [0.333, 0.667, 0.420], [0.333, 0.667, 0.913], [0.667, 0.333, 0.087], [0.667, 0.333, 0.580], [0.000, 0.000, 0.500], [0.333, 0.667, 0.167], [0.667, 0.333, 0.833], [0.000, 0.000, 0.000], [0.333, 0.667, 0.667], [0.667, 0.333, 0.333]], "magnetic_moment_mub_per_fu": 6.56, "dos_ef_per_ev_fu": 2.7, "rho_g_cm3": 9.042, "e_tot_ev_per_atom": -7.802, "spacegroup": "R-3m, No. 166"}

=====

Repeat the second record exactly.
{"formula": "MnW2Br", "functional": "PBE-GGA", "state": "relaxed", "lattice_angstrom": [[9.318, 0.000, 0.000], [0.000, 2.966, 0.000], [-1.461, 0.000, 4.457]], "species": ["Mn", "Mn", "W", "W", "W", "W", "Br", "Br"], "fractional_positions": [[0.000, 0.000, 0.000], [0.500, 0.500, 0.000], [0.002, 0.500, 0.535], [0.280, 0.000, 0.877], [0.502, 0.000, 0.535], [0.780, 0.500, 0.877], [0.236, 0.500, 0.313], [0.736, 0.000, 0.313]], "magnetic_moment_mub_per_fu": 0.79, "dos_ef_per_ev_fu": 3.6, "rho_g_cm3": 13.549, "e_tot_ev_per_atom": -8.250, "spacegroup": "Cm, No. 8"}